## SmMgSnPb (PBE)

Data for a geometry-optimized SmMgSnPb structure.

Unit cell a=4.5103 b=4.8248 c=4.8534 alpha=90.00 beta=90.00 gamma=90.00
With the nearest neighbours (Å) after each atom.
Space group Pmmm (No. 47)
Asymmetric unit:
Sm  0.0000  0.0000  0.0000  4 Sn 3.30, 4 Pb 3.31, 4 Mg 3.42
Mg  0.0000  0.5000  0.5000  4 Pb 3.30, 4 Sn 3.31, 4 Sm 3.42
Sn  0.5000  0.5000  0.0000  4 Sm 3.30, 4 Mg 3.31, 4 Pb 3.42
Pb  0.5000  0.0000  0.5000  4 Mg 3.30, 4 Sm 3.31, 4 Sn 3.42

## Properties
* distance to the lowest polymorph of the same formula: 0 meV/atom
* total DFT energy (no corrections): -3.951 eV/atom
* M_tot: 0.00 Bohr magnetons per cell
* formation energy: -0.444 eV/atom

## SmMgSnPb (PBE)

Data for a geometry-optimized SmMgSnPb structure.

Unit cell a=7.5912 b=7.5912 c=7.5912 alpha=90.00 beta=90.00 gamma=90.00
With the nearest neighbours (Å) after each atom.
Space group F-43m (No. 216)
Asymmetric unit:
Sm  0.0000  0.0000  0.0000  4 Sn 3.29, 4 Pb 3.29
Mg  0.0000  0.0000  0.5000  4 Sn 3.29, 4 Pb 3.29
Sn  0.2500  0.2500  0.7500  4 Mg 3.29, 4 Sm 3.29
Pb  0.2500  0.2500  0.2500  4 Mg 3.29, 4 Sm 3.29

## Properties
* distance to the lowest polymorph of the same formula: 169 meV/atom
* total DFT energy (no corrections): -3.781 eV/atom
* M_tot: 0.00 Bohr magnetons per cell
* formation energy: -0.275 eV/atom

## Sm2Mg5Tl3Pb2 (PBE)

Data for a geometry-optimized Sm2Mg5Tl3Pb2 structure.

Unit cell a=4.4825 b=4.4825 c=35.7136 alpha=90.00 beta=90.00 gamma=90.00
With the nearest neighbours (Å) after each atom.
Space group I4/mmm (No. 139)
Asymmetric unit:
Sm  0.0000  0.0000  0.2144  5 Tl 3.21-3.24, 4 Mg 3.51
Mg  0.0000  0.0000  0.0000  2 Pb 2.89, 4 Tl 3.17
Mg  0.0000  0.5000  0.1386  2 Tl 3.03, 2 Pb 3.04, 4 Mg 3.17
Tl  0.0000  0.0000  0.3043  4 Mg 3.03, 5 Sm 3.21-3.24
Tl  0.0000  0.0000  0.5000  4 Mg 3.17
Pb  0.0000  0.0000  0.0810  5 Mg 2.89-3.04

## Properties
* total DFT energy (no corrections): -2.714 eV/atom
* M_tot: 0.00 Bohr magnetons per cell
* formation energy: -0.054 eV/atom

## SmMgTlPb (PBE)

Data for a geometry-optimized SmMgTlPb structure.

Unit cell a=4.5060 b=4.8020 c=4.9712 alpha=90.00 beta=90.00 gamma=90.00
With the nearest neighbours (Å) after each atom.
Space group Pmmm (No. 47)
Asymmetric unit:
Sm  0.0000  0.0000  0.0000  4 Pb 3.29, 4 Tl 3.35, 4 Mg 3.46
Mg  0.0000  0.5000  0.5000  4 Tl 3.29, 4 Pb 3.35, 4 Sm 3.46
Tl  0.5000  0.0000  0.5000  4 Mg 3.29, 4 Sm 3.35, 4 Pb 3.46
Pb  0.5000  0.5000  0.0000  4 Sm 3.29, 4 Mg 3.35, 4 Tl 3.46

## Properties
* distance to the lowest polymorph of the same formula: 0 meV/atom
* total DFT energy (no corrections): -3.446 eV/atom
* M_tot: 0.00 Bohr magnetons per cell
* formation energy: -0.349 eV/atom

## SmMgTlPb (PBE)

Data for a geometry-optimized SmMgTlPb structure.

Unit cell a=7.6147 b=7.6147 c=7.6147 alpha=90.00 beta=90.00 gamma=90.00
With the nearest neighbours (Å) after each atom.
Space group F-43m (No. 216)
Asymmetric unit:
Sm  0.0000  0.0000  0.0000  4 Pb 3.30, 4 Tl 3.30
Mg  0.0000  0.0000  0.5000  4 Tl 3.30, 4 Pb 3.30
Tl  0.2500  0.2500  0.7500  4 Mg 3.30, 4 Sm 3.30
Pb  0.2500  0.2500  0.2500  4 Mg 3.30, 4 Sm 3.30

## Properties
* distance to the lowest polymorph of the same formula: 128 meV/atom
* total DFT energy (no corrections): -3.318 eV/atom
* M_tot: 0.00 Bohr magnetons per cell
* formation energy: -0.221 eV/atom

## Mg2Sn2Pb (PBE)

Data for a geometry-optimized Mg2Sn2Pb structure.

Unit cell a=7.9399 b=7.9399 c=4.1952 alpha=90.00 beta=90.00 gamma=90.00
With the nearest neighbours (Å) after each atom.
Space group P4/mbm (No. 127)
Asymmetric unit:
Mg  0.1387  0.3613  0.0000  2 Pb 3.07, 1 Mg 3.12, 6 Sn 3.13-3.14
Sn  0.1533  0.6533  0.5000  6 Mg 3.13-3.14, 1 Sn 3.44
Pb  0.0000  0.0000  0.0000  4 Mg 3.07

## Properties
* distance to the lowest polymorph of the same formula: 86 meV/atom
* total DFT energy (no corrections): -2.972 eV/atom
* M_tot: 0.00 Bohr magnetons per cell
* formation energy: 0.009 eV/atom

## Mg7Sn2Pb3 (PBE)

Data for a geometry-optimized Mg7Sn2Pb3 structure.

Unit cell a=4.7101 b=30.8247 c=4.6143 alpha=90.00 beta=90.00 gamma=90.00
With the nearest neighbours (Å) after each atom.
Space group Cmmm (No. 65)
Asymmetric unit:
Mg  0.0000  0.0000  0.0000  8 Mg 3.19-3.26, 4 Pb 3.30
Mg  0.0000  0.0717  0.5000  2 Sn 2.85, 2 Mg 3.19
Mg  0.0000  0.2181  0.0000  1 Sn 2.83, 2 Mg 3.07
Mg  0.0000  0.4271  0.0000  2 Sn 2.87
Sn  0.0000  0.1262  0.0000  5 Mg 2.83-2.87
Pb  0.0000  0.2920  0.5000  6 Mg 3.24-3.31, 2 Pb 3.50
Pb  0.0000  0.5000  0.5000  12 Mg 3.22-3.30

## Properties
* total DFT energy (no corrections): -2.517 eV/atom
* M_tot: 0.00 Bohr magnetons per cell
* formation energy: 0.008 eV/atom

## Mg2SnPb6 (PBE)

Data for a geometry-optimized Mg2SnPb6 structure.

Unit cell a=3.4813 b=3.4813 c=25.2560 alpha=90.00 beta=90.00 gamma=120.00
With the nearest neighbours (Å) after each atom.
Space group P-6m2 (No. 187)
Asymmetric unit:
Mg  0.0000  0.0000  0.1695  6 Pb 3.23-3.24, 6 Mg 3.48
Sn  0.6667  0.3333  0.5000  6 Pb 3.43, 6 Sn 3.48
Pb  0.0000  0.0000  0.3900  3 Sn 3.43, 9 Pb 3.48-3.63
Pb  0.6667  0.3333  0.0695  3 Mg 3.23, 7 Pb 3.48-3.51
Pb  0.6667  0.3333  0.2701  3 Mg 3.24, 6 Pb 3.48

## Properties
* distance to the lowest polymorph of the same formula: 26 meV/atom
* total DFT energy (no corrections): -3.244 eV/atom
* M_tot: 0.00 Bohr magnetons per cell
* formation energy: 0.027 eV/atom

## MgSnPb2 (PBE)

Data for a geometry-optimized MgSnPb2 structure.

Unit cell a=3.4159 b=3.4159 c=35.6140 alpha=90.00 beta=90.00 gamma=120.00
With the nearest neighbours (Å) after each atom.
Space group R-3m (No. 166, hexagonal axes)
Asymmetric unit:
Mg  0.0000  0.0000  0.0000  2 Pb 3.09, 6 Mg 3.42
Sn  0.0000  0.0000  0.5000  6 Sn 3.42, 6 Pb 3.46
Pb  0.0000  0.0000  0.0867  1 Mg 3.09, 6 Pb 3.42

## Properties
* distance to the lowest polymorph of the same formula: 107 meV/atom
* total DFT energy (no corrections): -3.140 eV/atom
* M_tot: 0.00 Bohr magnetons per cell
* formation energy: 0.113 eV/atom

## Mg8SnPb4 (PBE)

Data for a geometry-optimized Mg8SnPb4 structure.

Unit cell a=4.4787 b=4.5982 c=16.3790 alpha=90.00 beta=90.00 gamma=90.00
With the nearest neighbours (Å) after each atom.
Space group Pmm2 (No. 25)
Asymmetric unit:
Mg  0.0000  0.0000  0.0000  4 Pb 3.19-3.21, 8 Mg 3.21-3.30
Mg  0.0000  0.0000  0.2692  1 Sn 2.82, 2 Pb 3.08, 2 Mg 3.13
Mg  0.0000  0.5000  0.1393  6 Mg 3.13-3.24, 4 Pb 3.21
Mg  0.0000  0.5000  0.5580  2 Sn 2.99, 6 Mg 3.21-3.29, 2 Pb 3.27
Mg  0.5000  0.0000  0.5609  2 Sn 2.98, 2 Pb 3.20, 6 Mg 3.21-3.30
Mg  0.5000  0.0000  0.8520  6 Pb 3.22-3.35, 6 Mg 3.30-3.36
Mg  0.5000  0.5000  0.0016  4 Pb 3.17-3.23, 8 Mg 3.18-3.36
Mg  0.5000  0.5000  0.7056  6 Pb 3.21-3.44, 6 Mg 3.29-3.32
Sn  0.0000  0.0000  0.4412  5 Mg 2.82-2.99
Pb  0.0000  0.0000  0.7001  10 Mg 3.20-3.35, 2 Pb 3.54
Pb  0.0000  0.5000  0.8647  10 Mg 3.17-3.44, 2 Pb 3.54
Pb  0.5000  0.0000  0.1404  10 Mg 3.08-3.23
Pb  0.5000  0.5000  0.3815  4 Sn 3.36, 8 Mg 3.66-3.73

## Properties
* total DFT energy (no corrections): -2.447 eV/atom
* M_tot: 0.00 Bohr magnetons per cell
* formation energy: -0.017 eV/atom

## Mg5Sn6Pb (PBE)

Data for a geometry-optimized Mg5Sn6Pb structure.

Unit cell a=9.9019 b=14.6577 c=4.6822 alpha=90.00 beta=117.43 gamma=90.00
With the nearest neighbours (Å) after each atom.
Space group C2/m (No. 12)
Asymmetric unit:
Mg  0.0000  0.0000  0.0000  8 Sn 3.06-3.27
Mg  0.0000  0.1719  0.5000  8 Sn 3.15-3.25, 4 Mg 3.34-3.44
Mg  0.0000  0.3348  0.0000  8 Sn 3.22-3.40, 2 Mg 3.34, 2 Pb 3.37
Sn  0.2284  0.0000  0.7294  6 Mg 3.06-3.40, 2 Pb 3.32-3.36, 2 Sn 3.40
Sn  0.2413  0.1695  0.2383  7 Mg 3.15-3.30, 4 Sn 3.31-3.43, 1 Pb 3.37
Pb  0.0000  0.5000  0.5000  8 Sn 3.32-3.37, 4 Mg 3.37

## Properties
* total DFT energy (no corrections): -3.056 eV/atom
* M_tot: 0.00 Bohr magnetons per cell
* formation energy: -0.081 eV/atom

## MgSnPb2 (PBE)

Data for a geometry-optimized MgSnPb2 structure.

Unit cell a=5.0833 b=5.0833 c=16.3595 alpha=90.00 beta=90.00 gamma=120.00
With the nearest neighbours (Å) after each atom.
Space group R3m (No. 160, hexagonal axes)
Asymmetric unit:
Mg  0.0000  0.0000  0.0000  6 Pb 3.04-3.24, 1 Sn 3.12
Sn  0.0000  0.0000  0.1905  1 Mg 3.12, 6 Pb 3.32-3.41
Pb  0.0000  0.0000  0.4178  3 Mg 3.24, 1 Pb 3.30, 3 Sn 3.41
Pb  0.0000  0.0000  0.6193  3 Mg 3.04, 1 Pb 3.30, 3 Sn 3.32

## Properties
* distance to the lowest polymorph of the same formula: 67 meV/atom
* total DFT energy (no corrections): -3.180 eV/atom
* M_tot: 0.00 Bohr magnetons per cell
* formation energy: 0.073 eV/atom